VASP calculation (PBE) on crystalline Tb2Mg3Cu2 at its relaxed geometry.

Calculated values
total DFT energy (no corrections): -3.346 eV/atom
total magnetic moment: 0.00 μB per cell

Unit cell a=10.5141 b=3.9308 c=7.5486 alpha=90.00 beta=96.69 gamma=90.00
Last column: nearest neighbours and their distance in Å.
Space group C2/m (No. 12)
Symmetry-distinct sites (fractional):
Tb1 0.1255 0.0000 0.3613 x4  5 Cu 2.94-3.07
Mg1 0.0000 0.5000 0.0000 x2  2 Cu 2.95, 4 Mg 3.04
Mg2 0.1849 0.0000 0.8588 x4  2 Cu 2.71
Cu1 0.0826 0.5000 0.6395 x4  1 Cu 2.57, 2 Mg 2.71